Entry 1:
The following is a DFT calculation (GGA-PBE) of a relaxed Li8P2H crystal.

a = 4.160 Å, b = 5.244 Å, c = 8.235 Å
α = 117.32°, β = 104.63°, γ = 90.00°
Positions (direct):
P  0.844  0.356  0.689
P  0.156  0.644  0.311
Li  0.974  0.223  0.949
Li  0.227  0.312  0.453
Li  0.328  0.062  0.657
Li  0.773  0.688  0.547
Li  0.672  0.938  0.343
Li  0.026  0.777  0.051
Li  0.589  0.366  0.178
Li  0.411  0.634  0.822
H  0.500  0.000  0.000

## Properties
**Total DFT energy (no corrections)**: -34.647 eV/f.u.
**Crystal system**: monoclinic
**DOS(E_F)**: 2.7 states/eV/cell

Entry 2:
The following is a DFT calculation (GGA-PBE) of a relaxed Li2PH2 crystal.

a = 6.279 Å, b = 6.279 Å, c = 2.806 Å
α = 90.00°, β = 90.00°, γ = 90.00°
Positions (direct):
Li  0.723  0.777  0.500
Li  0.277  0.223  0.500
Li  0.223  0.723  0.500
Li  0.777  0.277  0.500
H  0.544  0.044  0.000
H  0.044  0.456  0.000
H  0.456  0.956  0.000
H  0.956  0.544  0.000
P  0.500  0.500  0.000
P  0.000  0.000  0.000

## Properties
**Total DFT energy (no corrections)**: -17.094 eV/f.u.
**Crystal system**: tetragonal
**DOS(E_F)**: 3.5 states/eV/cell

Entry 3:
The following is a DFT calculation (GGA-PBE) of a relaxed Li2PH crystal.

a = 2.772 Å, b = 4.369 Å, c = 4.369 Å
α = 99.08°, β = 90.03°, γ = 90.04°
Positions (direct):
H  0.499  0.808  0.308
P  0.500  0.087  0.587
Li  0.000  0.563  0.543
Li  0.000  0.043  0.063

## Properties
**Polymorph energy (0 for the lowest one)**: 103 meV/atom
**Crystal system**: orthorhombic
**DOS(E_F)**: 0.3 states/eV/cell

Across the entries above, volume takes the values 13.91, 11.06, 13.06 A^3/atom, respectively.